Below is Cs2CaAg after structural relaxation, with properties calculated at the PBE level.

## Properties
DFT formation energy = 332 meV/atom
relative energy among the computed polymorphs = 0.149 eV per atom

Geometry as CIF:
```
data_Cs2CaAg
_chemical_formula_sum 'Cs8 Ca4 Ag4'
_space_group_name_H-M_alt 'F m -3 m'
_space_group_IT_number 225
_space_group_name_Hall '-F 4 2 3'
_cell_length_a 9.765
_cell_length_b 9.765
_cell_length_c 9.765
_cell_angle_alpha 90.00
_cell_angle_beta 90.00
_cell_angle_gamma 90.00
loop_
_atom_site_label
_atom_site_fract_x
_atom_site_fract_y
_atom_site_fract_z
Cs1 0.250 0.250 0.250
Ca1 0.000 0.000 0.000
Ag1 0.000 0.000 0.500
```

Below is Cs2CaAg after structural relaxation, with properties calculated at the PBE level.

## Properties
DFT formation energy = 183 meV/atom
relative energy among the computed polymorphs = 0.000 eV per atom

Geometry as CIF:
```
data_Cs2CaAg
_chemical_formula_sum 'Cs8 Ca4 Ag4'
_space_group_name_H-M_alt 'I -4 2 d'
_space_group_IT_number 122
_space_group_name_Hall 'I -4 2bw'
_cell_length_a 13.311
_cell_length_b 13.311
_cell_length_c 6.149
_cell_angle_alpha 90.00
_cell_angle_beta 90.00
_cell_angle_gamma 90.00
loop_
_atom_site_label
_atom_site_fract_x
_atom_site_fract_y
_atom_site_fract_z
Cs1 0.111 0.750 0.125
Ca1 0.000 0.000 0.500
Ag1 0.000 0.000 0.000
```